The following is a PBE calculation of a relaxed KSb2Br crystal, from Alexandria via LeMat-Bulk.

The structure in POSCAR format:
```
KSb2Br
1.0
4.215 0.000 0.000
0.000 7.086 0.000
0.000 0.000 10.091
K Sb Br
2 4 2
direct
0.000 0.000 0.000
0.500 0.500 0.500
0.000 0.000 0.493
0.000 0.500 0.808
0.500 0.000 0.308
0.500 0.500 0.993
0.000 0.500 0.262
0.500 0.000 0.762
```

N(E_F): 4.0 states/eV per cell
Raw formation energy: -0.41 eV/atom
Mass density: 4.00 g cm⁻³
Energy: -25.348 eV for the cell shown
Relative energy among the computed polymorphs: 254 meV per atom